# 1
CaHgS2 | PBE | relaxed

The structure belongs to space group P3m1 (No. 156); the cell edges are 4.3396, 4.3396 and 6.6164 Å and the angles 90.00°, 90.00° and 120.00°. The asymmetric unit holds Ca at (0.0000, 0.0000, 0.0000), Hg at (0.6667, 0.3333, 0.5335), S at (0.0000, 0.0000, 0.4257) and S at (0.3333, 0.6667, 0.8671).

Its density is 4.690 g cm⁻³. The raw formation energy is -3.58 eV per formula unit.

=====

# 2
CaHgS2 | PBE | relaxed

The structure belongs to space group P4/mmm (No. 123); the cell edges are 4.8080, 4.8080 and 3.5760 Å and the angles 90.00°, 90.00° and 90.00°. The asymmetric unit holds Ca at (0.0000, 0.0000, 0.0000), Hg at (0.5000, 0.5000, 0.0000) and S at (0.0000, 0.5000, 0.5000).

Its density is 6.122 g cm⁻³. The raw formation energy is -2.97 eV per formula unit.